Material: DyInRh
Method: DFT, PBE
State: optimized geometry

CIF file:
```
data_DyInRh
_chemical_formula_sum 'Dy4 In4 Rh4'
_cell_length_a 6.594
_cell_length_b 6.594
_cell_length_c 6.594
_cell_angle_alpha 90.00
_cell_angle_beta 90.00
_cell_angle_gamma 90.00
_symmetry_space_group_name_H-M 'F -4 3 m'
_symmetry_Int_Tables_number 216
_symmetry_space_group_name_Hall 'F -4 2 3'
loop_
_atom_site_label
_atom_site_type_symbol
_atom_site_fract_x
_atom_site_fract_y
_atom_site_fract_z
Dy1 Dy 0.000 0.000 0.000
In1 In 0.000 0.000 0.500
Rh1 Rh 0.250 0.250 0.750
```

## Properties
D(E_F) ... 5.06 states/eV per cell
Uncorrected energy ... -5.516 eV/atom
Calculated volume ... 286.8 Å³/cell
Energy of formation from the pure elements ... -0.618 eV per atom

=====

Material: ScBe4P
Method: DFT, PBE
State: optimized geometry

CIF file:
```
data_ScBe4P
_chemical_formula_sum 'Sc4 Be16 P4'
_cell_length_a 6.519
_cell_length_b 6.519
_cell_length_c 6.519
_cell_angle_alpha 90.00
_cell_angle_beta 90.00
_cell_angle_gamma 90.00
_symmetry_space_group_name_H-M 'F -4 3 m'
_symmetry_Int_Tables_number 216
_symmetry_space_group_name_Hall 'F -4 2 3'
loop_
_atom_site_label
_atom_site_type_symbol
_atom_site_fract_x
_atom_site_fract_y
_atom_site_fract_z
Sc1 Sc 0.000 0.000 0.000
Be1 Be 0.128 0.128 0.372
P1 P 0.250 0.250 0.750
```

## Properties
D(E_F) ... 16.31 states/eV per cell
Uncorrected energy ... -4.264 eV/atom
Calculated volume ... 277.1 Å³/cell
Energy of formation from the pure elements ... 0.177 eV per atom

=====

Material: TlSn2Bi2
Method: DFT, PBE
State: optimized geometry

CIF file:
```
data_TlSn2Bi2
_chemical_formula_sum 'Tl4 Sn8 Bi8'
_cell_length_a 10.927
_cell_length_b 11.356
_cell_length_c 7.109
_cell_angle_alpha 90.00
_cell_angle_beta 125.41
_cell_angle_gamma 90.00
_symmetry_space_group_name_H-M 'C 1 2/c 1'
_symmetry_Int_Tables_number 15
loop_
_symmetry_equiv_pos_as_xyz
'x,y,z'
'-x,-y,-z'
'-x,y,-z+1/2'
'x,-y,z+1/2'
'x+1/2,y+1/2,z'
'-x+1/2,-y+1/2,-z'
'-x+1/2,y+1/2,-z+1/2'
'x+1/2,-y+1/2,z+1/2'
loop_
_atom_site_label
_atom_site_type_symbol
_atom_site_fract_x
_atom_site_fract_y
_atom_site_fract_z
Tl1 Tl 0.000 0.159 0.250
Sn1 Sn 0.194 0.333 0.738
Bi1 Bi 0.000 0.139 0.750
Bi2 Bi 0.000 0.473 0.250
```

## Properties
Offset from the most stable computed form ... 0.058 eV per atom
D(E_F) ... 7.06 states/eV per cell
Uncorrected energy ... -3.524 eV/atom
Calculated volume ... 719.0 Å³/cell
Energy of formation from the pure elements ... 0.103 eV per atom

=====

Material: Dy2SbHPd6
Method: DFT, PBE
State: optimized geometry

CIF file:
```
data_Dy2SbHPd6
_chemical_formula_sum 'Dy2 Sb1 H1 Pd6'
_cell_length_a 5.659
_cell_length_b 5.662
_cell_length_c 7.068
_cell_angle_alpha 66.49
_cell_angle_beta 66.75
_cell_angle_gamma 61.31
_symmetry_space_group_name_H-M 'P -1'
_symmetry_Int_Tables_number 2
loop_
_symmetry_equiv_pos_as_xyz
'x,y,z'
'-x,-y,-z'
loop_
_atom_site_label
_atom_site_type_symbol
_atom_site_fract_x
_atom_site_fract_y
_atom_site_fract_z
Dy1 Dy 0.247 0.250 0.194
Sb1 Sb 0.000 0.000 0.000
H1 H 0.500 0.500 0.500
Pd1 Pd 0.186 0.689 0.351
Pd2 Pd 0.293 0.291 0.730
Pd3 Pd 0.311 0.813 0.650
```

## Properties
D(E_F) ... 2.66 states/eV per cell
Uncorrected energy ... -5.455 eV/atom
Calculated volume ... 176.3 Å³/cell

=====

Material: Sm6AsIr2Br3
Method: DFT, PBE
State: optimized geometry

CIF file:
```
data_Sm6AsIr2Br3
_chemical_formula_sum 'Sm12 As2 Ir4 Br6'
_cell_length_a 7.258
_cell_length_b 12.568
_cell_length_c 7.943
_cell_angle_alpha 90.00
_cell_angle_beta 107.58
_cell_angle_gamma 90.00
_symmetry_space_group_name_H-M 'C 1 2/m 1'
_symmetry_Int_Tables_number 12
loop_
_symmetry_equiv_pos_as_xyz
'x,y,z'
'-x,-y,-z'
'-x,y,-z'
'x,-y,z'
'x+1/2,y+1/2,z'
'-x+1/2,-y+1/2,-z'
'-x+1/2,y+1/2,-z'
'x+1/2,-y+1/2,z'
loop_
_atom_site_label
_atom_site_type_symbol
_atom_site_fract_x
_atom_site_fract_y
_atom_site_fract_z
Sm1 Sm 0.216 0.000 0.197
Sm2 Sm 0.240 0.325 0.198
As1 As 0.000 0.500 0.000
Ir1 Ir 0.000 0.167 0.000
Br1 Br 0.000 0.000 0.500
Br2 Br 0.000 0.338 0.500
```

## Properties
D(E_F) ... 5.60 states/eV per cell
Uncorrected energy ... -5.829 eV/atom
Calculated volume ... 690.7 Å³/cell
Formation energy without anion corrections ... -1.19 eV per atom

=====

Material: InSb2TeN
Method: DFT, PBE
State: optimized geometry

CIF file:
```
data_InSb2TeN
_chemical_formula_sum 'In1 Sb2 Te1 N1'
_cell_length_a 4.811
_cell_length_b 4.811
_cell_length_c 5.097
_cell_angle_alpha 90.00
_cell_angle_beta 90.00
_cell_angle_gamma 90.00
_symmetry_space_group_name_H-M 'P 4/m m m'
_symmetry_Int_Tables_number 123
_symmetry_space_group_name_Hall '-P 4 2'
loop_
_atom_site_label
_atom_site_type_symbol
_atom_site_fract_x
_atom_site_fract_y
_atom_site_fract_z
In1 In 0.000 0.000 0.000
Sb1 Sb 0.000 0.500 0.500
Te1 Te 0.500 0.500 0.000
N1 N 0.500 0.500 0.500
```

## Properties
Offset from the most stable computed form ... 0.000 eV per atom
D(E_F) ... 3.93 states/eV per cell
Uncorrected energy ... -3.925 eV/atom
Calculated volume ... 118.0 Å³/cell
Formation energy without anion corrections ... 0.57 eV per atom

=====

Material: PuSb2Pd3
Method: DFT, PBE
State: optimized geometry

CIF file:
```
data_PuSb2Pd3
_chemical_formula_sum 'Pu2 Sb4 Pd6'
_cell_length_a 4.592
_cell_length_b 8.766
_cell_length_c 5.871
_cell_angle_alpha 90.00
_cell_angle_beta 90.00
_cell_angle_gamma 90.00
_symmetry_space_group_name_H-M 'P m c 21'
_symmetry_Int_Tables_number 26
loop_
_symmetry_equiv_pos_as_xyz
'x,y,z'
'-x,-y,z+1/2'
'-x,y,z'
'x,-y,z+1/2'
loop_
_atom_site_label
_atom_site_type_symbol
_atom_site_fract_x
_atom_site_fract_y
_atom_site_fract_z
Pu1 Pu 0.000 0.004 0.000
Sb1 Sb 0.000 0.346 0.251
Sb2 Sb 0.500 0.194 0.743
Pd1 Pd 0.000 0.355 0.727
Pd2 Pd 0.500 0.168 0.255
Pd3 Pd 0.500 0.461 0.012
```

## Properties
Offset from the most stable computed form ... 0.070 eV per atom
D(E_F) ... 16.93 states/eV per cell
Uncorrected energy ... -6.854 eV/atom
Calculated volume ... 236.3 Å³/cell
Formation energy without anion corrections ... -0.49 eV per atom

=====

Material: PrSc2Cd6
Method: DFT, PBE
State: optimized geometry

CIF file:
```
data_PrSc2Cd6
_chemical_formula_sum 'Pr1 Sc2 Cd6'
_cell_length_a 8.5981
_cell_length_b 8.5981
_cell_length_c 3.3022
_cell_angle_alpha 90.00
_cell_angle_beta 90.00
_cell_angle_gamma 120.00
_symmetry_space_group_name_H-M 'P 6/m m m'
_symmetry_Int_Tables_number 191
_symmetry_space_group_name_Hall '-P 6 2'
loop_
_atom_site_label
_atom_site_type_symbol
_atom_site_fract_x
_atom_site_fract_y
_atom_site_fract_z
Pr1 Pr 0.0000 0.0000 0.0000
Sc1 Sc 0.3333 0.6667 0.0000
Cd1 Cd 0.0000 0.3393 0.5000
```

## Properties
D(E_F) ... 7.98 states/eV per cell
Uncorrected energy ... -2.797 eV/atom
Calculated volume ... 211.4 Å³/cell
Energy of formation from the pure elements ... -0.249 eV per atom

=====

Material: Tm5Te4Se
Method: DFT, PBE
State: optimized geometry

CIF file:
```
data_Tm5Te4Se
_chemical_formula_sum 'Tm10 Te8 Se2'
_cell_length_a 14.168
_cell_length_b 4.226
_cell_length_c 10.432
_cell_angle_alpha 90.00
_cell_angle_beta 119.68
_cell_angle_gamma 90.00
_symmetry_space_group_name_H-M 'C 1 2/m 1'
_symmetry_Int_Tables_number 12
loop_
_symmetry_equiv_pos_as_xyz
'x,y,z'
'-x,-y,-z'
'-x,y,-z'
'x,-y,z'
'x+1/2,y+1/2,z'
'-x+1/2,-y+1/2,-z'
'-x+1/2,y+1/2,-z'
'x+1/2,-y+1/2,z'
loop_
_atom_site_label
_atom_site_type_symbol
_atom_site_fract_x
_atom_site_fract_y
_atom_site_fract_z
Tm1 Tm 0.000 0.000 0.000
Tm2 Tm 0.081 0.500 0.409
Tm3 Tm 0.185 0.000 0.774
Te1 Te 0.109 0.500 0.910
Te2 Te 0.196 0.000 0.310
Se1 Se 0.000 0.000 0.500
```

## Properties
Offset from the most stable computed form ... 0.000 eV per atom
D(E_F) ... 8.60 states/eV per cell
Uncorrected energy ... -5.118 eV/atom
Calculated volume ... 542.8 Å³/cell
Formation energy without anion corrections ... -1.28 eV per atom

=====

Material: InAg4Au2
Method: DFT, PBE
State: optimized geometry

CIF file:
```
data_InAg4Au2
_chemical_formula_sum 'In2 Ag8 Au4'
_cell_length_a 6.925
_cell_length_b 9.003
_cell_length_c 4.520
_cell_angle_alpha 90.00
_cell_angle_beta 92.43
_cell_angle_gamma 90.00
_symmetry_space_group_name_H-M 'C 1 2/m 1'
_symmetry_Int_Tables_number 12
loop_
_symmetry_equiv_pos_as_xyz
'x,y,z'
'-x,-y,-z'
'-x,y,-z'
'x,-y,z'
'x+1/2,y+1/2,z'
'-x+1/2,-y+1/2,-z'
'-x+1/2,y+1/2,-z'
'x+1/2,-y+1/2,z'
loop_
_atom_site_label
_atom_site_type_symbol
_atom_site_fract_x
_atom_site_fract_y
_atom_site_fract_z
In1 In 0.000 0.000 0.000
Ag1 Ag 0.135 0.283 0.751
Au1 Au 0.162 0.500 0.288
```

## Properties
Offset from the most stable computed form ... 0.000 eV per atom
D(E_F) ... 3.69 states/eV per cell
Uncorrected energy ... -2.956 eV/atom
Calculated volume ... 281.5 Å³/cell
Energy of formation from the pure elements ... 0.001 eV per atom

=====

Material: Ho2TmCdN
Method: DFT, PBE
State: optimized geometry

CIF file:
```
data_Ho2TmCdN
_chemical_formula_sum 'Ho2 Tm1 Cd1 N1'
_cell_length_a 4.804
_cell_length_b 4.804
_cell_length_c 4.736
_cell_angle_alpha 90.00
_cell_angle_beta 90.00
_cell_angle_gamma 90.00
_symmetry_space_group_name_H-M 'P 4/m m m'
_symmetry_Int_Tables_number 123
_symmetry_space_group_name_Hall '-P 4 2'
loop_
_atom_site_label
_atom_site_type_symbol
_atom_site_fract_x
_atom_site_fract_y
_atom_site_fract_z
Ho1 Ho 0.000 0.500 0.000
Tm1 Tm 0.000 0.000 0.500
Cd1 Cd 0.500 0.500 0.500
N1 N 0.000 0.000 0.000
```

## Properties
D(E_F) ... 4.24 states/eV per cell
Uncorrected energy ... -5.445 eV/atom
Calculated volume ... 109.3 Å³/cell
Formation energy without anion corrections ... -0.87 eV per atom

=====

Material: MgTcSb2I
Method: DFT, PBE
State: optimized geometry

CIF file:
```
data_MgTcSb2I
_chemical_formula_sum 'Mg1 Tc1 Sb2 I1'
_cell_length_a 5.081
_cell_length_b 5.081
_cell_length_c 5.944
_cell_angle_alpha 90.00
_cell_angle_beta 90.00
_cell_angle_gamma 90.00
_symmetry_space_group_name_H-M 'P 4/m m m'
_symmetry_Int_Tables_number 123
_symmetry_space_group_name_Hall '-P 4 2'
loop_
_atom_site_label
_atom_site_type_symbol
_atom_site_fract_x
_atom_site_fract_y
_atom_site_fract_z
Mg1 Mg 0.000 0.000 0.000
Tc1 Tc 0.500 0.500 0.500
Sb1 Sb 0.000 0.500 0.500
I1 I 0.500 0.500 0.000
```

## Properties
Offset from the most stable computed form ... 0.000 eV per atom
D(E_F) ... 2.21 states/eV per cell
Uncorrected energy ... -3.971 eV/atom
Calculated volume ... 153.5 Å³/cell
Formation energy without anion corrections ... 0.38 eV per atom